Entry 1:
Below is a geometry-optimized Sr2Co2O5 structure, with properties calculated at the PBEsol level.

Values from the calculation:
* E_form (uncorrected): -1853 meV/atom
* symmetry: P4/mmm
* crystal system: tetragonal

Unit cell a=5.421 b=5.421 c=3.649 alpha=90.00 beta=90.00 gamma=90.00
Fractional coordinates of all 9 atoms:
Sr: 0.000 0.500 0.000
Sr: 0.500 0.000 0.000
Co: 0.000 0.000 0.500
Co: 0.500 0.500 0.500
O: 0.000 0.000 0.000
O: 0.263 0.263 0.500
O: 0.263 0.737 0.500
O: 0.737 0.263 0.500
O: 0.737 0.737 0.500


Entry 2:
Below is a geometry-optimized BeNi2P structure, with properties calculated at the PBEsol level.

Values from the calculation:
* symmetry: I-4m2
* crystal system: tetragonal
* ΔE_f: -409 meV per atom

Unit cell a=4.280 b=4.280 c=4.280 alpha=134.92 beta=134.92 gamma=65.65
Fractional coordinates of all 4 atoms:
Be: 0.000 0.000 0.000
Ni: 0.250 0.750 0.500
Ni: 0.500 0.500 0.000
P: 0.750 0.250 0.500


Entry 3:
Below is a geometry-optimized Ga2SnHS structure, with properties calculated at the PBEsol level.

Values from the calculation:
* symmetry: P4/mmm
* crystal system: tetragonal
* uncorrected energy: -17.266 eV/cell

Unit cell a=5.146 b=5.146 c=3.724 alpha=90.00 beta=90.00 gamma=90.00
Fractional coordinates of all 5 atoms:
Ga: 0.000 0.500 0.000
Ga: 0.500 0.000 0.000
Sn: 0.000 0.000 0.000
H: 0.000 0.000 0.500
S: 0.500 0.500 0.500


Entry 4:
Below is a geometry-optimized Li2PmGe structure, with properties calculated at the PBEsol level.

Values from the calculation:
* symmetry: Fm-3m
* crystal system: cubic
* ΔE_f: -403 meV per atom

Unit cell a=4.601 b=4.601 c=4.601 alpha=60.00 beta=60.00 gamma=60.00
Fractional coordinates of all 4 atoms:
Li: 0.250 0.250 0.250
Li: 0.750 0.750 0.750
Pm: 0.000 0.000 0.000
Ge: 0.500 0.500 0.500


Entry 5:
Below is a geometry-optimized BiTeIrI2 structure, with properties calculated at the PBEsol level.

Values from the calculation:
* E_form (uncorrected): 352 meV/atom
* symmetry: P4/mmm
* crystal system: tetragonal

Unit cell a=5.304 b=5.304 c=5.188 alpha=90.00 beta=90.00 gamma=90.00
Fractional coordinates of all 5 atoms:
Bi: 0.000 0.000 0.000
Te: 0.500 0.500 0.000
Ir: 0.500 0.500 0.500
I: 0.000 0.500 0.500
I: 0.500 0.000 0.500


Entry 6:
Below is a geometry-optimized Re3SiP structure, with properties calculated at the PBEsol level.

Values from the calculation:
* E_form (uncorrected): 1699 meV/atom
* symmetry: Pm-3m
* crystal system: cubic

Unit cell a=4.391 b=4.391 c=4.391 alpha=90.00 beta=90.00 gamma=90.00
Fractional coordinates of all 5 atoms:
Re: 0.000 0.000 0.500
Re: 0.000 0.500 0.000
Re: 0.500 0.000 0.000
Si: 0.000 0.000 0.000
P: 0.500 0.500 0.500


| no. | total moment (μB per formula unit) | volume (A^3/atom) |
| --- | --- | --- |
| 1 | 5.177 | 11.9 |
| 2 | 0.000 | 9.7 |
| 3 | 0.000 | 19.7 |
| 4 | 0.000 | 17.2 |
| 5 | 0.000 | 29.2 |
| 6 | 0.003 | 16.9 |